# CsZn2FeO4 (PBE with a Hubbard U, optimized geometry)
data_CsZn2FeO4
_cell_length_a 5.288
_cell_length_b 5.288
_cell_length_c 8.603
_cell_angle_alpha 90.00
_cell_angle_beta 90.00
_cell_angle_gamma 90.00
_symmetry_space_group_name_H-M 'I -4 2 m'
_symmetry_Int_Tables_number 121
_symmetry_space_group_name_Hall 'I -4 2'
loop_
_atom_site_label
_atom_site_type_symbol
_atom_site_fract_x
_atom_site_fract_y
_atom_site_fract_z
Cs1 Cs 0.000 0.000 0.000
Zn1 Zn 0.000 0.500 0.250
Fe1 Fe 0.000 0.000 0.500
O1 O 0.187 0.187 0.345
# Energy = -4.82 eV per atom